DFT (PBE) results for an optimized crystal structure of Ag2PdC2O6.

- E (eV/atom) = -6.018
- magnetization (μB/cell) = 1.26
- N(E_F) (states/eV/f.u.) = 2.4
- calculated density (Mg/m³) = 5.39

Unit cell a=5.0832 b=5.0832 c=18.2493 alpha=90.00 beta=90.00 gamma=120.00
Space group R-3m (No. 166, hexagonal axes)
Unique sites:
Ag1 0.0000 0.0000 0.2055
Pd1 0.0000 0.0000 0.0000
C1 0.0000 0.0000 0.4125
O1 0.0375 0.5187 0.2511

DFT (PBE) results for an optimized crystal structure of PmAgC2O8.

- E (eV/atom) = -6.490
- magnetization (μB/cell) = 4.01
- N(E_F) (states/eV/f.u.) = 6.4
- calculated density (Mg/m³) = 4.10

Unit cell a=5.2729 b=5.2729 c=6.8052 alpha=90.00 beta=90.00 gamma=120.00
Space group P-3m1 (No. 164)
Unique sites:
Pm1 0.0000 0.0000 0.0000
Ag1 0.0000 0.0000 0.5000
C1 0.3333 0.6667 0.7112
O1 0.1902 0.3805 0.7748
O2 0.3333 0.6667 0.5096